# 1
A plane-wave DFT calculation with PBE was carried out for crystalline Sr2GaPt at its relaxed geometry.

Results
Its formation energy from the elements is -0.79 eV per formula unit. Its space-group type is R-3m (166). The calculation puts the total energy at -13.22 eV per cell.

Unit cell a=10.400 b=10.400 c=10.400 alpha=23.23 beta=23.23 gamma=23.23
Sites, in units of the cell vectors:
Sr (0.109, 0.109, 0.109)
Sr (0.891, 0.891, 0.891)
Ga (0.000, 0.000, 0.000)
Pt (0.500, 0.500, 0.500)


# 2
A plane-wave DFT calculation with PBE was carried out for crystalline La2AlCoPb at its relaxed geometry.

Results
Its formation energy from the elements is -2.22 eV per formula unit. Its space-group type is P4/mmm (123). The calculation puts the total energy at -26.63 eV per cell.

Unit cell a=5.266 b=5.266 c=4.750 alpha=90.00 beta=90.00 gamma=90.00
Sites, in units of the cell vectors:
La (0.000, 0.500, 0.000)
La (0.500, 0.000, 0.000)
Al (0.000, 0.000, 0.500)
Co (0.000, 0.000, 0.000)
Pb (0.500, 0.500, 0.500)


# 3
A plane-wave DFT calculation with PBE was carried out for crystalline KPPtS2 at its relaxed geometry.

Results
Its space-group type is P4/mmm (123). For the uncorrected formation energy, the calculation gives 0.03 eV/atom. For the energy above the lowest structure with this stoichiometry, the calculation gives 0.00 eV per formula unit. The calculation puts the total energy at -20.65 eV per cell.

Unit cell a=5.161 b=5.161 c=4.421 alpha=90.00 beta=90.00 gamma=90.00
Sites, in units of the cell vectors:
K (0.000, 0.000, 0.000)
P (0.500, 0.500, 0.000)
Pt (0.500, 0.500, 0.500)
S (0.000, 0.500, 0.500)
S (0.500, 0.000, 0.500)


# 4
A plane-wave DFT calculation with PBE was carried out for crystalline KBe2Os at its relaxed geometry.

Results
Its formation energy from the elements is 4.17 eV per formula unit. Its space-group type is Immm (71). For the energy above the lowest structure with this stoichiometry, the calculation gives 2.91 eV per formula unit. The calculation puts the total energy at -15.61 eV per cell.

Unit cell a=5.846 b=5.846 c=5.846 alpha=151.45 beta=118.94 gamma=68.76
Sites, in units of the cell vectors:
K (0.000, 0.000, 0.000)
Be (0.328, 0.828, 0.500)
Be (0.672, 0.172, 0.500)
Os (0.500, 0.500, 0.000)


# 5
A plane-wave DFT calculation with PBE was carried out for crystalline La2ThGa6 at its relaxed geometry.

Results
Its formation energy from the elements is -6.14 eV per formula unit. Its space-group type is P6/mmm (191). The calculation puts the total energy at -41.57 eV per cell.

Unit cell a=7.458 b=7.458 c=4.375 alpha=90.00 beta=90.00 gamma=120.00
Sites, in units of the cell vectors:
La (0.333, 0.667, 0.000)
La (0.667, 0.333, 0.000)
Th (0.000, 0.000, 0.000)
Ga (0.000, 0.332, 0.500)
Ga (0.000, 0.668, 0.500)
Ga (0.332, 0.000, 0.500)
Ga (0.332, 0.332, 0.500)
Ga (0.668, 0.000, 0.500)
Ga (0.668, 0.668, 0.500)


# 6
A plane-wave DFT calculation with PBE was carried out for crystalline Li2ReAuS at its relaxed geometry.

Results
Its space-group type is P4/mmm (123). For the uncorrected formation energy, the calculation gives 0.57 eV/atom. The calculation puts the total energy at -20.83 eV per cell.

Unit cell a=5.182 b=5.182 c=4.324 alpha=90.00 beta=90.00 gamma=90.00
Sites, in units of the cell vectors:
Li (0.000, 0.500, 0.000)
Li (0.500, 0.000, 0.000)
Re (0.000, 0.000, 0.000)
Au (0.500, 0.500, 0.500)
S (0.000, 0.000, 0.500)


# 7
A plane-wave DFT calculation with PBE was carried out for crystalline AlCrCu at its relaxed geometry.

Results
Its formation energy from the elements is 0.94 eV per formula unit. Its space-group type is F-43m (216). The calculation puts the total energy at -16.52 eV per cell.

Unit cell a=4.061 b=4.061 c=4.061 alpha=60.00 beta=60.00 gamma=60.00
Sites, in units of the cell vectors:
Al (0.000, 0.000, 0.000)
Cr (0.500, 0.500, 0.500)
Cu (0.750, 0.750, 0.750)


# 8
A plane-wave DFT calculation with PBE was carried out for crystalline Ca2ReCl at its relaxed geometry.

Results
Its space-group type is Imm2 (44). For the uncorrected formation energy, the calculation gives 0.14 eV/atom. For the energy above the lowest structure with this stoichiometry, the calculation gives 1.52 eV per formula unit. The calculation puts the total energy at -17.75 eV per cell.

Unit cell a=6.350 b=6.350 c=6.350 alpha=152.23 beta=131.79 gamma=56.55
Sites, in units of the cell vectors:
Ca (0.000, 0.000, 0.000)
Ca (0.687, 0.187, 0.500)
Re (0.441, 0.441, 0.000)
Cl (0.234, 0.734, 0.500)


# 9
A plane-wave DFT calculation with PBE was carried out for crystalline SmAgS2O8 at its relaxed geometry.

Results
Its space-group type is R-3 (148). For the uncorrected formation energy, the calculation gives -1.70 eV/atom. The calculation puts the total energy at -75.93 eV per cell.

Unit cell a=8.070 b=8.070 c=8.070 alpha=37.00 beta=37.00 gamma=37.00
Sites, in units of the cell vectors:
Sm (0.000, 0.000, 0.000)
Ag (0.500, 0.500, 0.500)
S (0.247, 0.247, 0.247)
S (0.753, 0.753, 0.753)
O (0.003, 0.728, 0.455)
O (0.182, 0.182, 0.182)
O (0.272, 0.545, 0.997)
O (0.455, 0.003, 0.728)
O (0.545, 0.997, 0.272)
O (0.728, 0.455, 0.003)
O (0.818, 0.818, 0.818)
O (0.997, 0.272, 0.545)


# 10
A plane-wave DFT calculation with PBE was carried out for crystalline BeC at its relaxed geometry.

Results
Its formation energy from the elements is 2.22 eV per formula unit. Its space-group type is P6_3/mmc (194). For the energy above the lowest structure with this stoichiometry, the calculation gives 1.59 eV per formula unit. The calculation puts the total energy at -21.45 eV per cell.

Unit cell a=3.179 b=3.179 c=3.717 alpha=90.00 beta=90.00 gamma=120.00
Sites, in units of the cell vectors:
Be (0.333, 0.667, 0.250)
Be (0.667, 0.333, 0.750)
C (0.333, 0.667, 0.750)
C (0.667, 0.333, 0.250)


# 11
A plane-wave DFT calculation with PBE was carried out for crystalline TiFeSe2 at its relaxed geometry.

Results
Its space-group type is Fm-3m (225). For the uncorrected formation energy, the calculation gives -0.31 eV/atom. For the energy above the lowest structure with this stoichiometry, the calculation gives 0.35 eV per formula unit. The calculation puts the total energy at -24.57 eV per cell.

Unit cell a=4.501 b=4.501 c=4.501 alpha=60.00 beta=60.00 gamma=60.00
Sites, in units of the cell vectors:
Ti (0.000, 0.000, 0.000)
Fe (0.500, 0.500, 0.500)
Se (0.250, 0.250, 0.250)
Se (0.750, 0.750, 0.750)


# 12
A plane-wave DFT calculation with PBE was carried out for crystalline W2Au at its relaxed geometry.

Results
Its formation energy from the elements is 1.96 eV per formula unit. Its space-group type is P6_3/mmc (194). For the energy above the lowest structure with this stoichiometry, the calculation gives 0.86 eV per formula unit. The calculation puts the total energy at -108.90 eV per cell.

Unit cell a=5.320 b=5.320 c=8.617 alpha=90.00 beta=90.00 gamma=120.00
Sites, in units of the cell vectors:
W (0.000, 0.000, 0.000)
W (0.000, 0.000, 0.500)
W (0.169, 0.339, 0.250)
W (0.169, 0.831, 0.250)
W (0.339, 0.169, 0.750)
W (0.661, 0.831, 0.250)
W (0.831, 0.169, 0.750)
W (0.831, 0.661, 0.750)
Au (0.333, 0.667, 0.571)
Au (0.333, 0.667, 0.929)
Au (0.667, 0.333, 0.071)
Au (0.667, 0.333, 0.429)